# VOsW, relaxed, DFT PBE
# total moment	0.0	Bohr magnetons per cell
# ΔE to the lowest computed polymorph	0.030	eV per atom
# density of states at the Fermi level	2.56	states/eV/cell
# ΔE_f	-43	meV/atom
data_VOsW
_cell_length_a 4.3076
_cell_length_b 4.3076
_cell_length_c 2.7367
_cell_angle_alpha 90.00
_cell_angle_beta 90.00
_cell_angle_gamma 120.00
_space_group_name_H-M_alt 'P 3 m 1'
_space_group_IT_number 156
loop_
_space_group_symop_operation_xyz
'x,y,z'
'-y,x-y,z'
'-x+y,-x,z'
'-y,-x,z'
'-x+y,y,z'
'x,x-y,z'
loop_
_atom_site_label
_atom_site_type_symbol
_atom_site_fract_x
_atom_site_fract_y
_atom_site_fract_z
V1 V 0.0000 0.0000 0.0000
Os1 Os 0.6667 0.3333 0.6661
W1 W 0.3333 0.6667 0.3020